1.
This record from the Alexandria database describes Ni3Sn7 after structural relaxation. The functional is PBE-GGA.

Cell lengths 9.439, 9.439, 9.439 Å; angles 90.00, 90.00, 90.00 degrees
Space group Im-3m (No. 229)
Unique sites:
Ni: 0.000 0.000 0.341 (multiplicity 12)
Sn: 0.000 0.250 0.500 (multiplicity 12)
Sn: 0.162 0.162 0.162 (multiplicity 16)

Calculated values
For the density of states at the Fermi level, the calculation gives 4.8 states/eV/f.u. As for the crystal system: cubic. The formation energy is -72 meV per atom. The value obtained for the total magnetization is 0.0 μB/cell.


2.
This record from the Alexandria database describes Ni2Sn after structural relaxation. The functional is PBE-GGA.

Cell lengths 7.006, 7.006, 7.006 Å; angles 90.00, 90.00, 90.00 degrees
Space group Fd-3m (No. 227, origin choice 2)
Unique sites:
Ni: 0.000 0.000 0.000 (multiplicity 16)
Sn: 0.125 0.125 0.625 (multiplicity 8)

Calculated values
For the density of states at the Fermi level, the calculation gives 1.9 states/eV/f.u. As for the crystal system: cubic. The formation energy is -22 meV per atom. The value obtained for the total magnetization is 0.0 μB/cell.


3.
This record from the Alexandria database describes Sr2NiSn2 after structural relaxation. The functional is PBE-GGA.

Cell lengths 11.908, 4.674, 11.593 Å; angles 90.00, 118.05, 90.00 degrees
Space group C2/m (No. 12)
Unique sites:
Sr: 0.004 0.000 0.165 (multiplicity 4)
Sr: 0.189 0.000 0.610 (multiplicity 4)
Ni: 0.215 0.500 0.848 (multiplicity 4)
Sn: 0.007 0.500 0.372 (multiplicity 4)
Sn: 0.178 0.500 0.061 (multiplicity 4)

Calculated values
For the density of states at the Fermi level, the calculation gives 3.6 states/eV/f.u. As for the crystal system: monoclinic. The formation energy is -511 meV per atom. The value obtained for the total magnetization is 0.0 μB/cell.


- Which formula does entry 2 have?
  Ni2Sn


- Number 3 is which compound?
  Sr2NiSn2